Record 1
# SrCa3Ru4O12 PBE optimized geometry
# **E**: -140.068 eV per cell
# **Raw formation energy**: -1.7890 eV/atom
data_SrCa3Ru4O12
_chemical_formula_sum 'Sr1 Ca3 Ru4 O12'
_cell_length_a 5.462
_cell_length_b 7.794
_cell_length_c 5.624
_cell_angle_alpha 90.00
_cell_angle_beta 90.03
_cell_angle_gamma 90.00
_symmetry_space_group_name_H-M 'P 1 m 1'
_symmetry_Int_Tables_number 6
loop_
_symmetry_equiv_pos_as_xyz
'x,y,z'
'x,-y,z'
loop_
_atom_site_label
_atom_site_type_symbol
_atom_site_fract_x
_atom_site_fract_y
_atom_site_fract_z
Sr1 Sr 0.000 0.000 0.000
Ca1 Ca 0.023 0.500 0.893
Ca2 Ca 0.495 0.500 0.398
Ca3 Ca 0.525 0.000 0.508
Ru1 Ru 0.008 0.252 0.452
Ru2 Ru 0.510 0.253 0.953
O1 O 0.104 0.000 0.443
O2 O 0.208 0.300 0.155
O3 O 0.307 0.302 0.657
O4 O 0.439 0.000 0.924
O5 O 0.604 0.500 0.983
O6 O 0.704 0.205 0.254
O7 O 0.804 0.213 0.743
O8 O 0.914 0.500 0.474

Record 2
# Sr4CaRu3O12 PBE optimized geometry
# **E**: -268.306 eV per cell
# **Raw formation energy**: -1.9049 eV/atom
data_Sr4CaRu3O12
_chemical_formula_sum 'Sr8 Ca2 Ru6 O24'
_cell_length_a 8.145
_cell_length_b 8.145
_cell_length_c 8.145
_cell_angle_alpha 90.00
_cell_angle_beta 90.00
_cell_angle_gamma 90.00
_symmetry_space_group_name_H-M 'I m -3 m'
_symmetry_Int_Tables_number 229
_symmetry_space_group_name_Hall '-I 4 2 3'
loop_
_atom_site_label
_atom_site_type_symbol
_atom_site_fract_x
_atom_site_fract_y
_atom_site_fract_z
Sr1 Sr 0.250 0.250 0.250
Ca1 Ca 0.000 0.000 0.000
Ru1 Ru 0.000 0.000 0.500
O1 O 0.000 0.000 0.266
O2 O 0.000 0.250 0.500

Record 3
# SrCaRuO6 PBE optimized geometry
# **E**: -57.269 eV per cell
# **Raw formation energy**: -1.6178 eV/atom
data_SrCaRuO6
_chemical_formula_sum 'Sr1 Ca1 Ru1 O6'
_cell_length_a 5.6034
_cell_length_b 5.6034
_cell_length_c 5.1371
_cell_angle_alpha 90.00
_cell_angle_beta 90.00
_cell_angle_gamma 120.00
_symmetry_space_group_name_H-M 'P 3 1 2'
_symmetry_Int_Tables_number 149
loop_
_symmetry_equiv_pos_as_xyz
'x,y,z'
'-y,x-y,z'
'-x+y,-x,z'
'-y,-x,-z'
'-x+y,y,-z'
'x,x-y,-z'
loop_
_atom_site_label
_atom_site_type_symbol
_atom_site_fract_x
_atom_site_fract_y
_atom_site_fract_z
Sr1 Sr 0.0000 0.0000 0.0000
Ca1 Ca 0.3333 0.6667 0.5000
Ru1 Ru 0.6667 0.3333 0.5000
O1 O 0.3924 0.0557 0.7103

Record 4
# SrCaYRuO6 PBE optimized geometry
# **E**: -146.789 eV per cell
# **Raw formation energy**: -2.4222 eV/atom
data_SrCaYRuO6
_chemical_formula_sum 'Sr2 Ca2 Y2 Ru2 O12'
_cell_length_a 5.709
_cell_length_b 5.866
_cell_length_c 9.904
_cell_angle_alpha 90.00
_cell_angle_beta 124.61
_cell_angle_gamma 90.00
_symmetry_space_group_name_H-M 'P 1 c 1'
_symmetry_Int_Tables_number 7
loop_
_symmetry_equiv_pos_as_xyz
'x,y,z'
'x,-y,z+1/2'
loop_
_atom_site_label
_atom_site_type_symbol
_atom_site_fract_x
_atom_site_fract_y
_atom_site_fract_z
Sr1 Sr 0.000 0.208 0.000
Ca1 Ca 0.472 0.305 0.501
Y1 Y 0.739 0.247 0.251
Ru1 Ru 0.239 0.251 0.749
O1 O 0.014 0.452 0.796
O2 O 0.115 0.033 0.305
O3 O 0.383 0.479 0.197
O4 O 0.470 0.065 0.698
O5 O 0.556 0.289 0.983
O6 O 0.899 0.223 0.517

Record 5
# Sr4CaY2Ru2O12 PBE optimized geometry
# **E**: -148.728 eV per cell
# **E above lowest polymorph**: 0.0 meV per atom
# **Raw formation energy**: -2.3343 eV/atom
data_Sr4CaY2Ru2O12
_chemical_formula_sum 'Sr4 Ca1 Y2 Ru2 O12'
_cell_length_a 6.049
_cell_length_b 6.356
_cell_length_c 8.218
_cell_angle_alpha 85.43
_cell_angle_beta 86.68
_cell_angle_gamma 81.57
_symmetry_space_group_name_H-M 'P 1'
_symmetry_Int_Tables_number 1
loop_
_symmetry_equiv_pos_as_xyz
'x,y,z'
loop_
_atom_site_label
_atom_site_type_symbol
_atom_site_fract_x
_atom_site_fract_y
_atom_site_fract_z
Sr1 Sr 0.000 0.000 0.000
Sr2 Sr 0.023 0.853 0.480
Sr3 Sr 0.597 0.354 0.499
Sr4 Sr 0.694 0.550 0.038
Ca1 Ca 0.436 0.243 0.911
Y1 Y 0.146 0.441 0.250
Y2 Y 0.492 0.838 0.714
Ru1 Ru 0.036 0.419 0.735
Ru2 Ru 0.526 0.925 0.240
O1 O 0.091 0.397 0.989
O2 O 0.216 0.084 0.268
O3 O 0.233 0.127 0.717
O4 O 0.319 0.570 0.694
O5 O 0.398 0.639 0.297
O6 O 0.456 0.892 0.990
O7 O 0.607 0.960 0.471
O8 O 0.629 0.203 0.166
O9 O 0.769 0.269 0.786
O10 O 0.847 0.707 0.764
O11 O 0.863 0.744 0.215
O12 O 0.984 0.443 0.495

Record 6
# Sr4CaY2Ru2O12 PBE optimized geometry
# **E**: -148.567 eV per cell
# **E above lowest polymorph**: 7.7 meV per atom
# **Raw formation energy**: -2.3266 eV/atom
data_Sr4CaY2Ru2O12
_chemical_formula_sum 'Sr4 Ca1 Y2 Ru2 O12'
_cell_length_a 5.819
_cell_length_b 6.102
_cell_length_c 8.714
_cell_angle_alpha 84.40
_cell_angle_beta 87.49
_cell_angle_gamma 88.34
_symmetry_space_group_name_H-M 'P 1'
_symmetry_Int_Tables_number 1
loop_
_symmetry_equiv_pos_as_xyz
'x,y,z'
loop_
_atom_site_label
_atom_site_type_symbol
_atom_site_fract_x
_atom_site_fract_y
_atom_site_fract_z
Sr1 Sr 0.000 0.000 0.000
Sr2 Sr 0.007 0.068 0.551
Sr3 Sr 0.438 0.443 0.941
Sr4 Sr 0.474 0.603 0.544
Ca1 Ca 0.507 0.736 0.157
Y1 Y 0.504 0.146 0.321
Y2 Y 0.967 0.550 0.773
Ru1 Ru 0.003 0.627 0.312
Ru2 Ru 0.490 0.032 0.795
O1 O 0.124 0.614 0.094
O2 O 0.213 0.371 0.374
O3 O 0.233 0.808 0.770
O4 O 0.249 0.288 0.747
O5 O 0.265 0.839 0.351
O6 O 0.418 0.072 0.043
O7 O 0.563 0.040 0.567
O8 O 0.695 0.766 0.875
O9 O 0.720 0.443 0.284
O10 O 0.750 0.252 0.806
O11 O 0.800 0.902 0.262
O12 O 0.905 0.635 0.538